Material: V2TcAgO8
Method: DFT, PBE with a Hubbard U
State: relaxed

Calculated values
V: 12.24 Å³/atom
Symmetry: I-4m2 (119)
Uncorrected energy: -6.861 eV/atom

Cell lengths 5.780, 5.780, 5.780 Å; angles 106.00, 106.00, 116.67 degrees
Sites, in units of the cell vectors:
V  0.000  0.000  0.000
V  0.750  0.250  0.500
Tc  0.500  0.500  0.000
Ag  0.250  0.750  0.500
O  0.121  0.410  0.711
O  0.209  0.034  0.825
O  0.209  0.384  0.175
O  0.590  0.302  0.711
O  0.590  0.879  0.289
O  0.616  0.791  0.825
O  0.698  0.410  0.289
O  0.966  0.791  0.175